VASP calculation (PBE) on a relaxed Pm3Ga2Si2Ni4 crystal.

Unit cell a=4.120 b=4.120 c=14.115 alpha=90.00 beta=90.00 gamma=120.00
Sites, in units of the cell vectors:
Pm 0.000 0.000 0.000
Pm 0.000 0.000 0.276
Pm 0.000 0.000 0.724
Ga 0.333 0.667 0.562
Ga 0.667 0.333 0.438
Si 0.333 0.667 0.144
Si 0.667 0.333 0.856
Ni 0.333 0.667 0.391
Ni 0.333 0.667 0.862
Ni 0.667 0.333 0.138
Ni 0.667 0.333 0.609

Results
Uncorrected formation energy   -6.0 eV per formula unit
Total magnetization   0.0 μB/cell

=====

VASP calculation (PBE) on a relaxed YBeAl2 crystal.

Unit cell a=8.691 b=8.691 c=8.691 alpha=148.84 beta=148.84 gamma=44.64
Sites, in units of the cell vectors:
Y 0.000 0.000 0.000
Y 0.750 0.250 0.500
Be 0.250 0.750 0.500
Be 0.500 0.500 0.000
Al 0.298 0.625 0.173
Al 0.375 0.548 0.673
Al 0.452 0.125 0.827
Al 0.875 0.702 0.327

Results
Total magnetization   0.0 μB/cell
Uncorrected energy   -4.2438 eV per atom

=====

VASP calculation (PBE) on a relaxed Sc3SbPb crystal.

Unit cell a=5.368 b=5.368 c=5.368 alpha=90.00 beta=90.00 gamma=90.00
Sites, in units of the cell vectors:
Sc 0.000 0.000 0.500
Sc 0.000 0.500 0.000
Sc 0.500 0.000 0.000
Sb 0.500 0.500 0.500
Pb 0.000 0.000 0.000

Results
Uncorrected formation energy   1.1 eV per formula unit
Distance to the lowest polymorph of the same formula   0.572 eV per atom
Total magnetization   0.0 μB/cell

=====

VASP calculation (PBE) on a relaxed TiPd2 crystal.

Unit cell a=4.931 b=4.931 c=4.931 alpha=143.97 beta=138.33 gamma=56.24
Sites, in units of the cell vectors:
Ti 0.000 0.000 0.000
Pd 0.342 0.342 0.000
Pd 0.658 0.658 0.000

Results
Total magnetization   0.0 μB/cell
Uncorrected energy   -6.7169 eV per atom

=====

VASP calculation (PBE) on a relaxed AcPr2Dy5Ho crystal.

Unit cell a=10.049 b=10.049 c=10.049 alpha=127.73 beta=127.73 gamma=77.06
Sites, in units of the cell vectors:
Ac 0.250 0.250 0.000
Ac 0.750 0.750 0.000
Pr 0.118 0.618 0.735
Pr 0.382 0.118 0.500
Pr 0.618 0.882 0.500
Pr 0.882 0.382 0.265
Dy 0.000 0.000 0.000
Dy 0.073 0.158 0.500
Dy 0.158 0.658 0.085
Dy 0.342 0.427 0.500
Dy 0.427 0.927 0.085
Dy 0.500 0.500 0.000
Dy 0.573 0.073 0.915
Dy 0.658 0.573 0.500
Dy 0.842 0.342 0.915
Dy 0.927 0.842 0.500
Ho 0.250 0.750 0.500
Ho 0.750 0.250 0.500

Results
Total magnetization   0.0 μB/cell
Uncorrected energy   -4.3255 eV per atom

=====

VASP calculation (PBE) on a relaxed DyTl2AgF6 crystal.

Unit cell a=6.389 b=6.489 c=11.217 alpha=90.00 beta=123.89 gamma=90.00
Sites, in units of the cell vectors:
Dy 0.000 0.000 0.000
Dy 0.000 0.500 0.500
Tl 0.262 0.037 0.752
Tl 0.262 0.463 0.252
Tl 0.738 0.537 0.748
Tl 0.738 0.963 0.248
Ag 0.500 0.000 0.500
Ag 0.500 0.500 0.000
F 0.143 0.030 0.228
F 0.143 0.470 0.728
F 0.235 0.726 0.046
F 0.235 0.774 0.546
F 0.313 0.193 0.037
F 0.313 0.307 0.537
F 0.687 0.693 0.463
F 0.687 0.807 0.963
F 0.765 0.226 0.454
F 0.765 0.274 0.954
F 0.857 0.530 0.272
F 0.857 0.970 0.772

Results
Uncorrected formation energy   -25.6 eV per formula unit
Total magnetization   0.2 μB/cell

=====

VASP calculation (PBE) on a relaxed Ba2LaNb crystal.

Unit cell a=5.993 b=5.993 c=5.993 alpha=60.00 beta=60.00 gamma=60.00
Sites, in units of the cell vectors:
Ba 0.250 0.250 0.250
Ba 0.750 0.750 0.750
La 0.000 0.000 0.000
Nb 0.500 0.500 0.500

Results
Distance to the lowest polymorph of the same formula   0.000 eV per atom
Total magnetization   2.5 μB/cell

=====

VASP calculation (PBE) on a relaxed K2CdPb2 crystal.

Unit cell a=7.981 b=7.981 c=5.879 alpha=90.00 beta=90.00 gamma=90.00
Sites, in units of the cell vectors:
K 0.173 0.327 0.000
K 0.327 0.827 0.000
K 0.673 0.173 0.000
K 0.827 0.673 0.000
Cd 0.000 0.000 0.500
Cd 0.500 0.500 0.500
Pb 0.138 0.638 0.500
Pb 0.362 0.138 0.500
Pb 0.638 0.862 0.500
Pb 0.862 0.362 0.500

Results
Distance to the lowest polymorph of the same formula   0.048 eV per atom
Total magnetization   0.0 μB/cell